Compound: SrSi2IrOs
Source: Alexandria via LeMat-Bulk
Functional: PBE
Structure: optimized geometry

Computed properties:
The calculation puts the density of states at the Fermi level at 4.2 states/eV per cell. The value obtained for the mass density is 8.06 g/cm³. The formation energy from raw total energies comes out at 0.542 eV/atom. The value obtained for the relative energy among the computed polymorphs is 1.2289 eV per atom. Its space group is P4/mmm (123).

Lattice parameters (Å, degrees): 4.6362 4.6362 5.0430 90.00 90.00 90.00
Closest atoms and distances in Å follow each position.
Element x y z (fractional)
Sr1 0.0000 0.0000 0.0000  4 Os 3.28, 8 Si 3.43
Si1 0.0000 0.5000 0.5000  2 Ir 2.32
Si2 0.5000 0.0000 0.5000  2 Ir 2.32
Ir1 0.5000 0.5000 0.5000  4 Si 2.32, 2 Os 2.52
Os1 0.5000 0.5000 0.0000  2 Ir 2.52